The following is a PBE with a Hubbard U calculation of an optimized crystal structure of VTePO2, from Alexandria via LeMat-Bulk.

Properties
SG	No. 123
final energy	-5.30	eV per atom
distance to the lowest polymorph of the same formula	0.5142	eV/atom

a = 3.998 Å, b = 3.998 Å, c = 5.272 Å
α = 90.00°, β = 90.00°, γ = 90.00°
Each line ends with the local moment (μB).
Sites, in units of the cell vectors:
V: 0.500 0.500 0.500  2.76
O: 0.500 0.000 0.000  0.02
O: 0.000 0.500 0.000  0.02
Te: 0.000 0.000 0.000  0.02
P: 0.000 0.000 0.500  -0.06